PBE Y10Bi3Sb3, optimized geometry; density = 6.9 g/cm³; uncorrected energy = -6.38 eV per atom; formation energy (no corrections) = -844 meV per atom
1.0
9.0897 0.0000 0.0000
-4.5448 7.8719 0.0000
0.0000 0.0000 6.3726
Y Bi Sb
10 3 3
Direct
0.0000 0.2454 0.0000
0.0000 0.7537 0.5000
0.2454 0.0000 0.0000
0.2463 0.2463 0.5000
0.3333 0.6667 0.2539
0.3333 0.6667 0.7461
0.6667 0.3333 0.2539
0.6667 0.3333 0.7461
0.7537 0.0000 0.5000
0.7546 0.7546 0.0000
0.0000 0.6099 0.0000
0.3901 0.3901 0.0000
0.6099 0.0000 0.0000
0.0000 0.3873 0.5000
0.3873 0.0000 0.5000
0.6127 0.6127 0.5000

PBE YBi2Sb2, optimized geometry; density = 7.5 g/cm³; energy relative to the lowest polymorph listed for this composition = 186 meV/atom; uncorrected energy = -4.56 eV per atom; formation energy (no corrections) = -67 meV per atom
1.0
-2.0949 2.0949 9.5253
2.0949 -2.0949 9.5253
2.0949 2.0949 -9.5253
Y Bi Sb
1 2 2
Direct
0.0000 0.0000 0.0000
0.4175 0.4175 0.0000
0.5825 0.5825 0.0000
0.2500 0.7500 0.5000
0.7500 0.2500 0.5000

PBE YBi2Sb2, optimized geometry; density = 8.1 g/cm³; energy relative to the lowest polymorph listed for this composition = 0 meV/atom; uncorrected energy = -4.75 eV per atom; formation energy (no corrections) = -254 meV per atom
1.0
8.3293 0.0000 0.0000
0.0000 8.3293 0.0000
0.0000 0.0000 4.4566
Y Bi Sb
2 4 4
Direct
0.0000 0.0000 0.0000
0.5000 0.5000 0.0000
0.1717 0.3283 0.5000
0.3283 0.8283 0.5000
0.6717 0.1717 0.5000
0.8283 0.6717 0.5000
0.1523 0.6523 0.0000
0.3477 0.1523 0.0000
0.6523 0.8477 0.0000
0.8477 0.3477 0.0000

PBE Y4BiSb2, optimized geometry; density = 6.7 g/cm³; uncorrected energy = -6.37 eV per atom; formation energy (no corrections) = -940 meV per atom
1.0
-4.6483 4.6483 4.6184
4.6483 -4.6483 4.6184
4.6483 4.6483 -4.6184
Y Bi Sb
8 2 4
Direct
0.1299 0.7310 0.7471
0.1328 0.2339 0.7529
0.2690 0.0161 0.3989
0.4810 0.3799 0.2471
0.6172 0.8701 0.6011
0.6201 0.8672 0.1011
0.7661 0.5190 0.8989
0.9839 0.3828 0.2529
0.0000 0.0000 0.0000
0.7500 0.2500 0.5000
0.2466 0.6250 0.1216
0.3750 0.4966 0.6216
0.5034 0.1250 0.8784
0.8750 0.7534 0.3784

PBE YBi2Sb, optimized geometry; density = 5.9 g/cm³; uncorrected energy = -4.55 eV per atom; formation energy (no corrections) = 37 meV per atom
1.0
-3.4537 3.4537 7.4753
3.4537 -3.4537 7.4753
3.4537 3.4537 -7.4753
Y Bi Sb
2 4 2
Direct
0.0000 0.0000 0.0000
0.7500 0.2500 0.5000
0.1273 0.6250 0.0023
0.3750 0.3773 0.5023
0.6227 0.1250 0.9977
0.8750 0.8727 0.4977
0.2500 0.7500 0.5000
0.5000 0.5000 0.0000

PBE YBiSb2, optimized geometry; density = 7.9 g/cm³; uncorrected energy = -5.06 eV per atom; formation energy (no corrections) = -408 meV per atom
1.0
5.2494 0.0000 0.0000
0.0000 5.2494 0.0000
0.0000 0.0000 4.1195
Y Bi Sb
1 1 2
Direct
0.0000 0.0000 0.0000
0.5000 0.5000 0.0000
0.0000 0.5000 0.5000
0.5000 0.0000 0.5000

PBE YBi2Sb, optimized geometry; density = 8.8 g/cm³; uncorrected energy = -4.95 eV per atom; formation energy (no corrections) = -365 meV per atom
1.0
4.6050 0.0000 0.0000
0.0000 4.6050 0.0000
0.0000 0.0000 5.6015
Y Bi Sb
1 2 1
Direct
0.0000 0.0000 0.0000
0.0000 0.5000 0.5000
0.5000 0.0000 0.5000
0.5000 0.5000 0.0000

PBE Y2Bi2Sb, optimized geometry; density = 7.9 g/cm³; energy relative to the lowest polymorph listed for this composition = 0 meV/atom; uncorrected energy = -5.59 eV per atom; formation energy (no corrections) = -629 meV per atom
1.0
8.2397 0.0000 0.0000
0.0000 8.2397 0.0000
0.0000 0.0000 4.4224
Y Bi Sb
4 4 2
Direct
0.1601 0.3399 0.0000
0.3399 0.8399 0.0000
0.6601 0.1601 0.0000
0.8399 0.6601 0.0000
0.1477 0.6477 0.5000
0.3523 0.1477 0.5000
0.6477 0.8523 0.5000
0.8523 0.3523 0.5000
0.0000 0.0000 0.0000
0.5000 0.5000 0.0000

PBE YBiSb2, optimized geometry; density = 5.2 g/cm³; uncorrected energy = -4.83 eV per atom; formation energy (no corrections) = -178 meV per atom
1.0
-3.4647 3.4647 7.2005
3.4647 -3.4647 7.2005
3.4647 3.4647 -7.2005
Y Bi Sb
2 2 4
Direct
0.0000 0.0000 0.0000
0.7500 0.2500 0.5000
0.2500 0.7500 0.5000
0.5000 0.5000 0.0000
0.1187 0.6250 0.9937
0.3750 0.3687 0.4937
0.6313 0.1250 0.0063
0.8750 0.8813 0.5063

PBE Y6BiSb5, optimized geometry; density = 6.2 g/cm³; uncorrected energy = -6.39 eV per atom; formation energy (no corrections) = -1120 meV per atom
1.0
3.8165 -6.6097 0.0000
3.8165 6.6097 0.0000
-2.5413 0.0000 7.1900
Y Bi Sb
6 1 5
Direct
0.0784 0.4157 0.7475
0.2463 0.2463 0.2511
0.4157 0.0784 0.7475
0.5843 0.9216 0.2525
0.7537 0.7537 0.7489
0.9216 0.5843 0.2525
0.5000 0.5000 0.0000
0.0000 0.0000 0.5000
0.1669 0.8331 0.0000
0.3348 0.6652 0.5000
0.6652 0.3348 0.5000
0.8331 0.1669 0.0000

PBE Y7Bi2Sb2, optimized geometry; density = 5.9 g/cm³; uncorrected energy = -6.03 eV per atom; formation energy (no corrections) = -461 meV per atom
1.0
4.6812 -5.4751 0.0000
4.6812 5.4751 0.0000
0.0000 0.0000 7.0520
Y Bi Sb
7 2 2
Direct
0.0000 0.0000 0.0000
0.0000 0.5000 0.2641
0.0000 0.5000 0.7359
0.5000 0.0000 0.2641
0.5000 0.0000 0.7359
0.5000 0.5000 0.2579
0.5000 0.5000 0.7421
0.1958 0.1958 0.5000
0.8042 0.8042 0.5000
0.2759 0.7241 0.0000
0.7241 0.2759 0.0000

PBE Y2Bi2Sb, optimized geometry; density = 7.8 g/cm³; energy relative to the lowest polymorph listed for this composition = 135 meV/atom; uncorrected energy = -5.46 eV per atom; formation energy (no corrections) = -494 meV per atom
1.0
8.6050 0.0000 0.0000
0.0000 8.6050 0.0000
0.0000 0.0000 4.1084
Y Bi Sb
4 4 2
Direct
0.1568 0.3432 0.0000
0.3432 0.8432 0.0000
0.6568 0.1568 0.0000
0.8432 0.6568 0.0000
0.1469 0.6469 0.5000
0.3531 0.1469 0.5000
0.6469 0.8531 0.5000
0.8531 0.3531 0.5000
0.0000 0.0000 0.5000
0.5000 0.5000 0.5000

uncorrected energy of number 2 (YBi2Sb2)?
-4.56 eV per atom

density of number 10 (Y6BiSb5)?
6.2 g/cm³

Please write out number 5 again, unchanged.
PBE YBi2Sb, optimized geometry; density = 5.9 g/cm³; uncorrected energy = -4.55 eV per atom; formation energy (no corrections) = 37 meV per atom
1.0
-3.4537 3.4537 7.4753
3.4537 -3.4537 7.4753
3.4537 3.4537 -7.4753
Y Bi Sb
2 4 2
Direct
0.0000 0.0000 0.0000
0.7500 0.2500 0.5000
0.1273 0.6250 0.0023
0.3750 0.3773 0.5023
0.6227 0.1250 0.9977
0.8750 0.8727 0.4977
0.2500 0.7500 0.5000
0.5000 0.5000 0.0000

Which value of density does entry 9 give?
5.2 g/cm³